Compound: PmCuAgF6
Source: the Alexandria database
Functional: GGA-PBE
Structure: optimized geometry

Values from the calculation:
formation energy without anion corrections	-2.468	eV/atom
energy	-5.0158	eV/atom
SG	No. 102

Unit cell a=5.2107 b=5.2107 c=10.4957 alpha=90.00 beta=90.00 gamma=90.00
Fractional positions:
Pm  0.5000  0.5000  0.1702
Pm  0.0000  0.0000  0.6702
Cu  0.5000  0.5000  0.8319
Cu  0.0000  0.0000  0.3319
Ag  0.5000  0.5000  0.4973
Ag  0.0000  0.0000  0.9973
F  0.1804  0.8196  0.4923
F  0.8196  0.1804  0.4923
F  0.3196  0.3196  0.9923
F  0.6804  0.6804  0.9923
F  0.1954  0.8046  0.1877
F  0.8046  0.1954  0.1877
F  0.3046  0.3046  0.6877
F  0.6954  0.6954  0.6877
F  0.7708  0.2292  0.8203
F  0.2292  0.7708  0.8203
F  0.7292  0.7292  0.3203
F  0.2708  0.2708  0.3203